Density functional theory data (PBE) for AgAuF3 after structural relaxation.

a = 6.7203 Å, b = 3.5620 Å, c = 14.1690 Å
α = 90.00°, β = 108.42°, γ = 90.00°
With the nearest neighbours (Å) after each atom.
Positions (direct):
Ag1 0.1207 0.1829 0.1447  6 F 2.37-2.57
Ag2 0.1207 0.3171 0.6447  6 F 2.37-2.57
Ag3 0.8793 0.6829 0.3553  6 F 2.37-2.57
Ag4 0.8793 0.8171 0.8553  6 F 2.37-2.57
Au1 0.3891 0.1884 0.4228  3 F 2.00-2.13
Au2 0.3891 0.3116 0.9228  3 F 2.00-2.13
Au3 0.6109 0.6884 0.0772  3 F 2.00-2.13
Au4 0.6109 0.8116 0.5772  3 F 2.00-2.13
F1 0.1409 0.2348 0.4716  1 Au 2.00
F2 0.1409 0.2652 0.9716  1 Au 2.00
F3 0.1905 0.0072 0.7996  1 Au 2.13, 1 Ag 2.37
F4 0.1905 0.4928 0.2996  1 Au 2.13, 1 Ag 2.37
F5 0.3789 0.6617 0.1367  1 Au 2.00
F6 0.3789 0.8383 0.6367  1 Au 2.00
F7 0.6211 0.1617 0.3633  1 Au 2.00
F8 0.6211 0.3383 0.8633  1 Au 2.00
F9 0.8095 0.5072 0.7004  1 Au 2.13, 1 Ag 2.37
F10 0.8095 0.9928 0.2004  1 Au 2.13, 1 Ag 2.37
F11 0.8591 0.7348 0.0284  1 Au 2.00
F12 0.8591 0.7652 0.5284  1 Au 2.00

Computed properties:
The value obtained for the energy relative to the elements, uncorrected is -982 meV/atom. The value obtained for the total DFT energy (no corrections) is -3.33 eV/atom.